The following is a DFT calculation (PBE) of a relaxed Ca2CI crystal.

a b c (Å): 7.4123 3.9552 15.5869
angles (deg): 90.00 101.48 90.00
Atoms (fractional coordinates):
Ca1 0.7488 0.5000 0.8932
I1 0.5243 0.5000 0.2409
Ca2 0.1208 0.5000 0.0918
Ca3 0.6012 0.5000 0.5775
C1 0.3620 0.5000 0.0116
I2 0.5243 0.0000 0.7409
Ca4 0.6012 0.0000 0.0775
Ca5 0.2673 0.5000 0.4022
C2 0.4919 0.0000 0.4640
I3 0.0251 0.0000 0.2479
I4 0.0251 0.5000 0.7479
Ca6 0.7488 0.0000 0.3932
C3 0.3620 0.0000 0.5116
Ca7 0.1208 0.0000 0.5918
Ca8 0.2673 0.0000 0.9022
C4 0.4919 0.5000 0.9640

Computed properties:
D(E_F)	2.6	states/eV/f.u.
total moment	0.00	μB/atom
uncorrected formation energy	-0.566	eV per atom


The following is a DFT calculation (PBE) of a relaxed Ca2CI crystal.

a b c (Å): 6.6946 3.8410 17.6594
angles (deg): 90.00 95.38 90.00
Atoms (fractional coordinates):
Ca1 0.7149 0.0000 0.1381
C1 0.5190 0.0000 0.5549
Ca2 0.7149 0.5000 0.6381
Ca3 0.6359 0.5000 0.4486
Ca4 0.1470 0.0000 0.3798
C2 0.3925 0.5000 0.9916
Ca5 0.2116 0.5000 0.5514
Ca6 0.6359 0.0000 0.9486
C3 0.3925 0.0000 0.4916
I1 0.5868 0.0000 0.3031
Ca7 0.2116 0.0000 0.0514
Ca8 0.1470 0.5000 0.8798
I2 0.5868 0.5000 0.8031
C4 0.5190 0.5000 0.0549
I3 0.0757 0.5000 0.2036
I4 0.0757 0.0000 0.7036

Computed properties:
D(E_F)	1.7	states/eV/f.u.
total moment	0.00	μB/atom
uncorrected formation energy	-0.494	eV per atom


The following is a DFT calculation (PBE) of a relaxed CaCI3 crystal.

a b c (Å): 6.1255 6.1255 6.1255
angles (deg): 90.00 90.00 90.00
Site moments in Bohr magnetons follow the coordinates.
Atoms (fractional coordinates):
I1 0.0000 0.0000 0.5000  -0.15
C1 0.5000 0.5000 0.5000  0.92
I2 0.5000 0.0000 0.0000  -0.21
I3 0.0000 0.5000 0.0000  -0.18
Ca1 0.0000 0.0000 0.0000  0.01

Computed properties:
D(E_F)	12.9	states/eV/f.u.
energy above the lowest structure with this stoichiometry	0.435	eV/atom
total moment	0.20	μB/atom
uncorrected formation energy	0.769	eV per atom